Entry from the Alexandria database: an optimized crystal structure of CuHgTe2 (PBE).

a = 3.1731 Å, b = 3.1731 Å, c = 10.3982 Å
α = 90.00°, β = 90.00°, γ = 102.57°
Closest atoms and distances in Å follow each position.
Element x y z (fractional)
Cu (0.0000, 0.0000, 0.0000)  2 Te 2.71, 2 Hg 2.79
Hg (0.5000, 0.5000, 0.1887)  2 Cu 2.79
Te (0.0000, 0.0000, 0.4680)  4 Te 3.17, 2 Hg 3.52
Te (0.5000, 0.5000, 0.8230)  2 Cu 2.71

* crystal system: orthorhombic
* total DFT energy (no corrections): -0.181 Ry/atom
* N(E_F): 2.70 states/eV/f.u.
* space group: No. 35


Entry from the Alexandria database: an optimized crystal structure of Pm5DyYHo2 (PBE).

a = 10.4944 Å, b = 10.4944 Å, c = 10.7091 Å
α = 90.00°, β = 90.00°, γ = 148.78°
Closest atoms and distances in Å follow each position.
Element x y z (fractional)
Pm (0.0172, 0.9828, 0.5000)  2 Dy 3.24, 3 Ho 3.46-3.57
Pm (0.2813, 0.7187, 0.7910)  1 Dy 3.06, 1 Ho 3.36
Pm (0.2982, 0.7018, 0.1878)  4 Pm 3.43-3.83, 1 Dy 3.49, 3 Ho 3.51-3.79, 3 Y 3.52-3.81
Pm (0.3878, 0.6122, 0.5026)  6 Pm 3.54-3.85, 4 Ho 3.60-3.65, 1 Y 3.80
Pm (0.4811, 0.5189, 0.2226)  2 Dy 3.20-3.35, 2 Ho 3.52, 2 Pm 3.54
Pm (0.5189, 0.4811, 0.7226)  2 Dy 3.20-3.35, 2 Ho 3.52, 2 Pm 3.54
Pm (0.6122, 0.3878, 0.0026)  6 Pm 3.54-3.85, 4 Ho 3.60-3.65, 1 Y 3.80
Pm (0.7018, 0.2982, 0.6878)  4 Pm 3.43-3.83, 1 Dy 3.49, 3 Ho 3.51-3.79, 3 Y 3.52-3.81
Pm (0.7187, 0.2813, 0.2910)  1 Dy 3.06, 1 Ho 3.36
Pm (0.9828, 0.0172, 0.0000)  2 Dy 3.24, 3 Ho 3.46-3.57
Dy (0.4104, 0.5896, 0.9402)  5 Pm 3.06-3.35
Dy (0.5896, 0.4104, 0.4402)  5 Pm 3.06-3.35
Y (0.1998, 0.8002, 0.4911)  2 Ho 3.43-3.67, 8 Pm 3.52-3.81, 2 Dy 3.64
Y (0.8002, 0.1998, 0.9911)  2 Ho 3.43-3.67, 8 Pm 3.52-3.81, 2 Dy 3.64
Ho (0.1114, 0.8886, 0.2180)  1 Y 3.43, 7 Pm 3.49-3.79, 2 Dy 3.72
Ho (0.1152, 0.8848, 0.7949)  9 Pm 3.36-3.73, 1 Y 3.67
Ho (0.8848, 0.1152, 0.2949)  9 Pm 3.36-3.73, 1 Y 3.67
Ho (0.8886, 0.1114, 0.7180)  1 Y 3.43, 7 Pm 3.49-3.79, 2 Dy 3.72

* crystal system: orthorhombic
* total DFT energy (no corrections): -0.348 Ry/atom
* E_form: 1.31 eV/f.u.
* N(E_F): 14.38 states/eV/f.u.
* space group: No. 36


Entry from the Alexandria database: an optimized crystal structure of HoMg3Co (PBE).

a = 8.0641 Å, b = 8.0641 Å, c = 7.4975 Å
α = 110.75°, β = 110.75°, γ = 28.32°
Closest atoms and distances in Å follow each position.
Element x y z (fractional)
Ho (0.0441, 0.0441, 0.2472)  4 Co 2.82-2.87
Ho (0.9559, 0.9559, 0.7528)  4 Co 2.82-2.87
Mg (0.1789, 0.1789, 0.9935)  2 Co 2.61
Mg (0.2703, 0.2703, 0.6666)  1 Co 2.79, 4 Mg 3.06-3.09
Mg (0.3931, 0.3931, 0.3456)  1 Co 2.87, 4 Mg 3.09-3.20
Mg (0.6069, 0.6069, 0.6544)  1 Co 2.87, 4 Mg 3.09-3.20
Mg (0.7297, 0.7297, 0.3334)  1 Co 2.79, 4 Mg 3.06-3.09
Mg (0.8211, 0.8211, 0.0065)  2 Co 2.61
Co (0.4285, 0.4285, 0.9964)  1 Co 2.22
Co (0.5715, 0.5715, 0.0036)  1 Co 2.22

* crystal system: monoclinic
* total DFT energy (no corrections): -0.250 Ry/atom
* E_form: -0.54 eV/f.u.
* N(E_F): 3.02 states/eV/f.u.
* space group: No. 12


Q: Which of these has the lowest N(E_F)?
A: CuHgTe2